SbIrW2 | GGA-PBEsol | relaxed

abc: 3.0171 3.0171 7.1081
angles: 90.00 90.00 90.00
Closest atoms and distances in Å follow each position.
Fractional positions:
Sb (0.0000, 0.0000, 0.0000)  8 W 2.81, 4 Sb 3.02
Ir (0.0000, 0.0000, 0.5000)  8 W 2.75, 4 Ir 3.02
W (0.5000, 0.5000, 0.2563)  4 Ir 2.75, 4 Sb 2.81, 4 W 3.02
W (0.5000, 0.5000, 0.7437)  4 Ir 2.75, 4 Sb 2.81, 4 W 3.02

## Properties
symmetry = P4/mmm, No. 123
V = 64.7 Å³/cell
formation energy without anion corrections = 372 meV per atom
uncorrected energy = -10.127 eV/atom